No. 1
DFT (GGA-PBE) results for a geometry-optimized Li3Zn4Pt2 structure.

Properties
ρ = 8.7 g/cm3
Space group = No. 12
Spin magnetization = 0.00 μB per cell

abc: 4.366 4.366 7.988
angles: 93.57 93.57 57.63
Fractional positions:
Li 0.000 0.000 0.000
Li 0.331 0.331 0.442
Li 0.669 0.669 0.558
Zn 0.002 0.002 0.669
Zn 0.332 0.332 0.113
Zn 0.668 0.668 0.887
Zn 0.998 0.998 0.331
Pt 0.336 0.336 0.781
Pt 0.664 0.664 0.219

---

No. 2
DFT (GGA-PBE) results for a geometry-optimized LiZn3Pt2 structure.

Properties
ρ = 10.8 g/cm3
Space group = No. 15
Spin magnetization = 0.00 μB per cell

abc: 5.883 5.883 5.428
angles: 99.27 99.27 95.06
Fractional positions:
Li 0.010 0.990 0.750
Li 0.990 0.010 0.250
Zn 0.289 0.711 0.750
Zn 0.297 0.333 0.019
Zn 0.333 0.297 0.519
Zn 0.667 0.703 0.481
Zn 0.703 0.667 0.981
Zn 0.711 0.289 0.250
Pt 0.065 0.588 0.289
Pt 0.412 0.935 0.211
Pt 0.588 0.065 0.789
Pt 0.935 0.412 0.711

---

No. 3
DFT (GGA-PBE) results for a geometry-optimized Li3ZnPt structure.

Properties
ρ = 4.4 g/cm3
Space group = No. 221
Spin magnetization = 0.00 μB per cell

abc: 4.734 4.734 4.734
angles: 90.00 90.00 90.00
Fractional positions:
Li 0.000 0.000 0.500
Li 0.000 0.500 0.000
Li 0.500 0.000 0.000
Zn 0.500 0.500 0.500
Pt 0.000 0.000 0.000

---

Formation enthalpy at 0 K (computed, kJ per mole of atoms): -49.8, -35.5, -1.5